Here is a crystal of BeBr2 relaxed with PBEsol from Alexandria via LeMat-Bulk. Energies are from meta-GGA SCAN. Values from VASP.

The structure in Quantum ESPRESSO input format:
```
&SYSTEM
  ibrav = 0, nat = 3, ntyp = 2
/
ATOMIC_SPECIES
Be 9.01 Be.upf
Br 79.90 Br.upf
CELL_PARAMETERS angstrom
-3.297 0.040 1.039
2.329 -1.896 1.712
1.247 4.935 3.767
ATOMIC_POSITIONS crystal
Be 0.000 0.000 0.000
Br 0.333 0.667 0.215
Br 0.667 0.333 0.785
```

DOS(E_F): 0.00 states/eV/cell
total energy: -15.27 eV/atom
uncorrected formation energy: -0.85 eV per atom
SG: P-3m1, No. 164

Here is a crystal of BeBr relaxed with PBEsol from Alexandria via LeMat-Bulk. Energies are from meta-GGA SCAN. Values from VASP.

The structure in Quantum ESPRESSO input format:
```
&SYSTEM
  ibrav = 0, nat = 2, ntyp = 2
/
ATOMIC_SPECIES
Be 9.01 Be.upf
Br 79.90 Br.upf
CELL_PARAMETERS angstrom
3.349 0.000 0.000
-1.675 2.900 0.000
0.000 0.000 3.426
ATOMIC_POSITIONS crystal
Be 0.000 0.000 0.000
Br 0.333 0.667 0.500
```

DOS(E_F): 0.64 states/eV/cell
total energy: -11.33 eV/atom
uncorrected formation energy: 0.57 eV per atom
SG: P-6m2, No. 187

Here is a crystal of BeBr2 relaxed with PBEsol from Alexandria via LeMat-Bulk. Energies are from meta-GGA SCAN. Values from VASP.

The structure in Quantum ESPRESSO input format:
```
&SYSTEM
  ibrav = 0, nat = 6, ntyp = 2
/
ATOMIC_SPECIES
Be 9.01 Be.upf
Br 79.90 Br.upf
CELL_PARAMETERS angstrom
-4.546 -2.949 -1.061
3.060 -4.907 0.531
-0.397 3.788 5.539
ATOMIC_POSITIONS crystal
Be 0.750 0.000 0.000
Be 0.250 0.000 0.000
Br 0.889 0.095 0.779
Br 0.111 0.905 0.221
Br 0.611 0.317 0.221
Br 0.389 0.683 0.779
```

DOS(E_F): 0.00 states/eV/cell
total energy: -15.55 eV/atom
uncorrected formation energy: -1.12 eV per atom
SG: Ibam, No. 72

Here is a crystal of BeC2Br relaxed with PBEsol from Alexandria via LeMat-Bulk. Energies are from meta-GGA SCAN. Values from VASP.

The structure in Quantum ESPRESSO input format:
```
&SYSTEM
  ibrav = 0, nat = 4, ntyp = 3
/
ATOMIC_SPECIES
Be 9.01 Be.upf
C 12.01 C.upf
Br 79.90 Br.upf
CELL_PARAMETERS angstrom
3.908 0.000 0.000
1.954 3.384 0.000
1.954 1.128 3.191
ATOMIC_POSITIONS crystal
Be 0.000 0.000 0.000
C 0.250 0.250 0.250
C 0.750 0.750 0.750
Br 0.500 0.500 0.500
```

DOS(E_F): 2.01 states/eV/cell
total energy: -7.86 eV/atom
uncorrected formation energy: 3.15 eV per atom
SG: Fm-3m, No. 225

Here is a crystal of BeH12C4S2Br2 relaxed with PBEsol from Alexandria via LeMat-Bulk. Energies are from meta-GGA SCAN. Values from VASP.

The structure in Quantum ESPRESSO input format:
```
&SYSTEM
  ibrav = 0, nat = 84, ntyp = 5
/
ATOMIC_SPECIES
Be 9.01 Be.upf
H 1.01 H.upf
C 12.01 C.upf
S 32.06 S.upf
Br 79.90 Br.upf
CELL_PARAMETERS angstrom
-5.391 0.638 8.318
5.626 -7.223 4.200
6.697 7.411 3.773
ATOMIC_POSITIONS crystal
Be 0.191 0.500 0.250
Be 0.309 0.000 0.750
Be 0.809 0.500 0.750
Be 0.691 0.000 0.250
H 0.934 0.226 0.408
H 0.566 0.274 0.908
H 0.566 0.726 0.592
H 0.934 0.774 0.092
H 0.066 0.774 0.592
H 0.434 0.726 0.092
H 0.434 0.274 0.408
H 0.066 0.226 0.908
H 0.080 0.317 0.466
H 0.420 0.183 0.966
H 0.420 0.817 0.534
H 0.080 0.683 0.034
H 0.920 0.683 0.534
H 0.580 0.817 0.034
H 0.580 0.183 0.466
H 0.920 0.317 0.966
H 0.926 0.404 0.427
H 0.574 0.096 0.927
H 0.574 0.904 0.573
H 0.926 0.596 0.073
H 0.074 0.596 0.573
H 0.426 0.904 0.073
H 0.426 0.096 0.427
H 0.074 0.404 0.927
H 0.213 0.180 0.303
H 0.287 0.320 0.803
H 0.287 0.680 0.697
H 0.213 0.820 0.197
H 0.787 0.820 0.697
H 0.713 0.680 0.197
H 0.713 0.320 0.303
H 0.787 0.180 0.803
H 0.203 0.205 0.136
H 0.297 0.295 0.636
H 0.297 0.705 0.864
H 0.203 0.795 0.364
H 0.797 0.795 0.864
H 0.703 0.705 0.364
H 0.703 0.295 0.136
H 0.797 0.205 0.636
H 0.075 0.109 0.214
H 0.425 0.391 0.714
H 0.425 0.609 0.786
H 0.075 0.891 0.286
H 0.925 0.891 0.786
H 0.575 0.609 0.286
H 0.575 0.391 0.214
H 0.925 0.109 0.714
C 0.992 0.320 0.402
C 0.508 0.180 0.902
C 0.508 0.820 0.598
C 0.992 0.680 0.098
C 0.008 0.680 0.598
C 0.492 0.820 0.098
C 0.492 0.180 0.402
C 0.008 0.320 0.902
C 0.145 0.194 0.223
C 0.355 0.306 0.723
C 0.355 0.694 0.777
C 0.145 0.806 0.277
C 0.855 0.806 0.777
C 0.645 0.694 0.277
C 0.645 0.306 0.223
C 0.855 0.194 0.723
S 0.048 0.341 0.244
S 0.452 0.159 0.744
S 0.452 0.841 0.756
S 0.048 0.659 0.256
S 0.952 0.659 0.756
S 0.548 0.841 0.256
S 0.548 0.159 0.244
S 0.952 0.341 0.744
Br 0.300 0.491 0.080
Br 0.200 0.009 0.580
Br 0.200 0.991 0.920
Br 0.300 0.509 0.420
Br 0.700 0.509 0.920
Br 0.800 0.991 0.420
Br 0.800 0.009 0.080
Br 0.700 0.491 0.580
```

DOS(E_F): 0.00 states/eV/cell
total energy: -7.22 eV/atom
SG: Pbcn, No. 60

Here is a crystal of CaBe2Br relaxed with PBEsol from Alexandria via LeMat-Bulk. Energies are from meta-GGA SCAN. Values from VASP.

The structure in Quantum ESPRESSO input format:
```
&SYSTEM
  ibrav = 0, nat = 4, ntyp = 3
/
ATOMIC_SPECIES
Be 9.01 Be.upf
Ca 40.08 Ca.upf
Br 79.90 Br.upf
CELL_PARAMETERS angstrom
3.458 0.000 0.000
0.000 4.200 0.000
0.000 0.000 5.447
ATOMIC_POSITIONS crystal
Be 0.000 0.000 0.000
Be 0.500 0.500 0.000
Ca 0.000 0.500 0.500
Br 0.500 0.000 0.500
```

DOS(E_F): 2.06 states/eV/cell
total energy: -9.14 eV/atom
uncorrected formation energy: 0.32 eV per atom
SG: Pmmm, No. 47

Here is a crystal of CaBe2Br relaxed with PBEsol from Alexandria via LeMat-Bulk. Energies are from meta-GGA SCAN. Values from VASP.

The structure in Quantum ESPRESSO input format:
```
&SYSTEM
  ibrav = 0, nat = 4, ntyp = 3
/
ATOMIC_SPECIES
Be 9.01 Be.upf
Ca 40.08 Ca.upf
Br 79.90 Br.upf
CELL_PARAMETERS angstrom
3.428 0.000 0.000
0.000 4.215 0.000
-1.714 -2.107 5.295
ATOMIC_POSITIONS crystal
Be 0.752 0.752 0.505
Be 0.248 0.248 0.495
Ca 0.000 0.500 0.000
Br 0.500 0.000 0.000
```

DOS(E_F): 1.52 states/eV/cell
total energy: -9.19 eV/atom
uncorrected formation energy: 0.27 eV per atom
SG: Immm, No. 71

Here is a crystal of CaBe2Br relaxed with PBEsol from Alexandria via LeMat-Bulk. Energies are from meta-GGA SCAN. Values from VASP.

The structure in Quantum ESPRESSO input format:
```
&SYSTEM
  ibrav = 0, nat = 4, ntyp = 3
/
ATOMIC_SPECIES
Be 9.01 Be.upf
Ca 40.08 Ca.upf
Br 79.90 Br.upf
CELL_PARAMETERS angstrom
-3.691 -0.049 -1.850
1.559 -2.314 -3.048
-1.266 -4.329 2.640
ATOMIC_POSITIONS crystal
Be 0.000 0.000 0.775
Be 0.000 0.000 0.225
Ca 0.500 0.500 0.500
Br 0.500 0.500 0.000
```

DOS(E_F): 2.22 states/eV/cell
total energy: -8.96 eV/atom
uncorrected formation energy: 0.50 eV per atom
SG: P4/mmm, No. 123

Here is a crystal of Ca3BeBr relaxed with PBEsol from Alexandria via LeMat-Bulk. Energies are from meta-GGA SCAN. Values from VASP.

The structure in Quantum ESPRESSO input format:
```
&SYSTEM
  ibrav = 0, nat = 5, ntyp = 3
/
ATOMIC_SPECIES
Be 9.01 Be.upf
Ca 40.08 Ca.upf
Br 79.90 Br.upf
CELL_PARAMETERS angstrom
5.508 0.000 0.000
0.000 5.508 0.000
0.000 0.000 5.508
ATOMIC_POSITIONS crystal
Be 0.000 0.000 0.000
Ca 0.000 0.500 0.000
Ca 0.000 0.000 0.500
Ca 0.500 0.000 0.000
Br 0.500 0.500 0.500
```

DOS(E_F): 4.05 states/eV/cell
total energy: -10.72 eV/atom
uncorrected formation energy: -0.16 eV per atom
SG: Pm-3m, No. 221

Here is a crystal of CaBeIBr2 relaxed with PBEsol from Alexandria via LeMat-Bulk. Energies are from meta-GGA SCAN. Values from VASP.

The structure in Quantum ESPRESSO input format:
```
&SYSTEM
  ibrav = 0, nat = 5, ntyp = 4
/
ATOMIC_SPECIES
I 126.90 I.upf
Be 9.01 Be.upf
Ca 40.08 Ca.upf
Br 79.90 Br.upf
CELL_PARAMETERS angstrom
-4.706 2.343 -0.319
-0.826 -2.293 -4.668
-5.305 -9.868 5.786
ATOMIC_POSITIONS crystal
I 0.500 0.500 0.500
Be 0.000 0.000 0.500
Ca 0.000 0.000 0.000
Br 0.000 0.500 0.000
Br 0.500 0.000 0.000
```

DOS(E_F): 0.90 states/eV/cell
total energy: -18.27 eV/atom
uncorrected formation energy: -0.33 eV per atom
SG: P4/mmm, No. 123

Here is a crystal of SrCa2BeBr relaxed with PBEsol from Alexandria via LeMat-Bulk. Energies are from meta-GGA SCAN. Values from VASP.

The structure in Quantum ESPRESSO input format:
```
&SYSTEM
  ibrav = 0, nat = 5, ntyp = 4
/
ATOMIC_SPECIES
Sr 87.62 Sr.upf
Ca 40.08 Ca.upf
Br 79.90 Br.upf
Be 9.01 Be.upf
CELL_PARAMETERS angstrom
5.549 0.000 0.000
0.000 6.918 0.000
0.000 0.000 6.918
ATOMIC_POSITIONS crystal
Sr 0.000 0.000 0.000
Ca 0.000 0.000 0.500
Ca 0.000 0.500 0.000
Br 0.500 0.000 0.000
Be 0.500 0.500 0.500
```

DOS(E_F): 3.87 states/eV/cell
total energy: -12.38 eV/atom
uncorrected formation energy: 0.70 eV per atom
SG: P4/mmm, No. 123

Here is a crystal of BeCd3Br relaxed with PBEsol from Alexandria via LeMat-Bulk. Energies are from meta-GGA SCAN. Values from VASP.

The structure in Quantum ESPRESSO input format:
```
&SYSTEM
  ibrav = 0, nat = 5, ntyp = 3
/
ATOMIC_SPECIES
Be 9.01 Be.upf
Br 79.90 Br.upf
Cd 112.41 Cd.upf
CELL_PARAMETERS angstrom
5.478 0.000 0.000
0.000 5.478 0.000
0.000 0.000 5.478
ATOMIC_POSITIONS crystal
Be 0.500 0.500 0.500
Br 0.000 0.000 0.000
Cd 0.000 0.500 0.000
Cd 0.000 0.000 0.500
Cd 0.500 0.000 0.000
```

DOS(E_F): 3.42 states/eV/cell
total energy: -21.90 eV/atom
uncorrected formation energy: 1.11 eV per atom
SG: Pm-3m, No. 221

Here is a crystal of BeCdBr2 relaxed with PBEsol from Alexandria via LeMat-Bulk. Energies are from meta-GGA SCAN. Values from VASP.

The structure in Quantum ESPRESSO input format:
```
&SYSTEM
  ibrav = 0, nat = 4, ntyp = 3
/
ATOMIC_SPECIES
Be 9.01 Be.upf
Br 79.90 Br.upf
Cd 112.41 Cd.upf
CELL_PARAMETERS angstrom
-1.847 -2.503 -1.145
-2.000 -2.847 4.649
-5.540 1.465 0.936
ATOMIC_POSITIONS crystal
Be 0.264 0.236 0.236
Br 0.926 0.074 0.074
Br 0.778 0.722 0.722
Cd 0.532 0.468 0.468
```

DOS(E_F): 0.27 states/eV/cell
total energy: -18.71 eV/atom
uncorrected formation energy: -0.29 eV per atom
SG: Imm2, No. 44

Here is a crystal of BeCdBr2 relaxed with PBEsol from Alexandria via LeMat-Bulk. Energies are from meta-GGA SCAN. Values from VASP.

The structure in Quantum ESPRESSO input format:
```
&SYSTEM
  ibrav = 0, nat = 4, ntyp = 3
/
ATOMIC_SPECIES
Be 9.01 Be.upf
Br 79.90 Br.upf
Cd 112.41 Cd.upf
CELL_PARAMETERS angstrom
-2.082 0.733 -3.121
-3.257 0.033 2.180
0.720 6.218 0.980
ATOMIC_POSITIONS crystal
Be 0.000 0.500 0.500
Br 0.000 0.000 0.000
Br 0.500 0.000 0.500
Cd 0.500 0.500 0.000
```

DOS(E_F): 1.63 states/eV/cell
total energy: -18.17 eV/atom
uncorrected formation energy: 0.25 eV per atom
SG: Pmmm, No. 47

Here is a crystal of BeCdBr4 relaxed with PBEsol from Alexandria via LeMat-Bulk. Energies are from meta-GGA SCAN. Values from VASP.

The structure in Quantum ESPRESSO input format:
```
&SYSTEM
  ibrav = 0, nat = 6, ntyp = 3
/
ATOMIC_SPECIES
Be 9.01 Be.upf
Br 79.90 Br.upf
Cd 112.41 Cd.upf
CELL_PARAMETERS angstrom
-0.019 -5.934 1.587
4.667 -2.326 3.248
-0.842 -1.607 5.869
ATOMIC_POSITIONS crystal
Be 0.000 0.000 0.000
Br 0.375 0.375 0.375
Br 0.375 0.375 0.874
Br 0.874 0.375 0.375
Br 0.375 0.874 0.375
Cd 0.750 0.750 0.750
```

DOS(E_F): 5.10 states/eV/cell
total energy: -17.88 eV/atom
uncorrected formation energy: 0.88 eV per atom
SG: F-43m, No. 216

Here is a crystal of TiBeCdBr2 relaxed with PBEsol from Alexandria via LeMat-Bulk. Energies are from meta-GGA SCAN. Values from VASP.

The structure in Quantum ESPRESSO input format:
```
&SYSTEM
  ibrav = 0, nat = 5, ntyp = 4
/
ATOMIC_SPECIES
Be 9.01 Be.upf
Ti 47.87 Ti.upf
Br 79.90 Br.upf
Cd 112.41 Cd.upf
CELL_PARAMETERS angstrom
4.604 0.000 0.000
0.000 4.604 0.000
0.000 0.000 5.136
ATOMIC_POSITIONS crystal
Be 0.000 0.000 0.000
Ti 0.000 0.000 0.500
Br 0.000 0.500 0.000
Br 0.500 0.000 0.000
Cd 0.500 0.500 0.500
```

DOS(E_F): 3.35 states/eV/cell
total energy: -17.56 eV/atom
uncorrected formation energy: 0.38 eV per atom
SG: P4/mmm, No. 123

Here is a crystal of Be2BrCl relaxed with PBEsol from Alexandria via LeMat-Bulk. Energies are from meta-GGA SCAN. Values from VASP.

The structure in Quantum ESPRESSO input format:
```
&SYSTEM
  ibrav = 0, nat = 4, ntyp = 3
/
ATOMIC_SPECIES
Be 9.01 Be.upf
Br 79.90 Br.upf
Cl 35.45 Cl.upf
CELL_PARAMETERS angstrom
3.014 0.000 0.000
0.000 3.014 0.000
0.000 0.000 7.757
ATOMIC_POSITIONS crystal
Be 0.000 0.000 0.994
Be 0.500 0.500 0.255
Br 0.000 0.000 0.419
Cl 0.500 0.500 0.833
```

DOS(E_F): 1.04 states/eV/cell
total energy: -8.77 eV/atom
uncorrected formation energy: 0.27 eV per atom
SG: P4mm, No. 99

Here is a crystal of Be2BrCl relaxed with PBEsol from Alexandria via LeMat-Bulk. Energies are from meta-GGA SCAN. Values from VASP.

The structure in Quantum ESPRESSO input format:
```
&SYSTEM
  ibrav = 0, nat = 4, ntyp = 3
/
ATOMIC_SPECIES
Be 9.01 Be.upf
Br 79.90 Br.upf
Cl 35.45 Cl.upf
CELL_PARAMETERS angstrom
-2.651 1.688 -0.686
1.465 -1.797 -2.541
-3.872 -5.429 1.608
ATOMIC_POSITIONS crystal
Be 0.000 0.000 0.757
Be 0.000 0.000 0.243
Br 0.500 0.000 0.500
Cl 0.500 0.000 0.000
```

DOS(E_F): 1.53 states/eV/cell
total energy: -8.62 eV/atom
uncorrected formation energy: 0.42 eV per atom
SG: Cmmm, No. 65

Here is a crystal of BeBrCl2 relaxed with PBEsol from Alexandria via LeMat-Bulk. Energies are from meta-GGA SCAN. Values from VASP.

The structure in Quantum ESPRESSO input format:
```
&SYSTEM
  ibrav = 0, nat = 4, ntyp = 3
/
ATOMIC_SPECIES
Be 9.01 Be.upf
Br 79.90 Br.upf
Cl 35.45 Cl.upf
CELL_PARAMETERS angstrom
2.877 0.000 0.000
1.438 6.061 0.098
1.438 2.492 5.526
ATOMIC_POSITIONS crystal
Be 0.516 0.484 0.484
Br 0.836 0.664 0.664
Cl 0.000 0.000 0.000
Cl 0.148 0.352 0.352
```

DOS(E_F): 1.34 states/eV/cell
total energy: -10.54 eV/atom
uncorrected formation energy: -0.59 eV per atom
SG: Imm2, No. 44

Here is a crystal of BeBr2Cl2 relaxed with PBEsol from Alexandria via LeMat-Bulk. Energies are from meta-GGA SCAN. Values from VASP.

The structure in Quantum ESPRESSO input format:
```
&SYSTEM
  ibrav = 0, nat = 10, ntyp = 3
/
ATOMIC_SPECIES
Be 9.01 Be.upf
Br 79.90 Br.upf
Cl 35.45 Cl.upf
CELL_PARAMETERS angstrom
5.898 0.000 0.000
0.000 5.898 0.000
0.000 0.000 7.358
ATOMIC_POSITIONS crystal
Be 0.000 0.000 0.000
Be 0.500 0.500 0.000
Br 0.140 0.640 0.500
Br 0.640 0.860 0.500
Br 0.860 0.360 0.500
Br 0.360 0.140 0.500
Cl 0.310 0.810 0.000
Cl 0.810 0.690 0.000
Cl 0.690 0.190 0.000
Cl 0.190 0.310 0.000
```

total energy: -12.35 eV/atom
uncorrected formation energy: -0.51 eV per atom
SG: P4/mbm, No. 127